(1)
First-principles (PBE-GGA) data for a geometry-optimized CrCuGe structure, as listed in Alexandria via LeMat-Bulk.

Cell and atoms, written as CIF:
```
data_CrCuGe
_cell_length_a 4.0754
_cell_length_b 4.0754
_cell_length_c 19.2280
_cell_angle_alpha 90.00
_cell_angle_beta 90.00
_cell_angle_gamma 120.00
_symmetry_space_group_name_H-M 'R -3 m'
_symmetry_Int_Tables_number 166
_symmetry_space_group_name_Hall '-R 3 2"'
loop_
_atom_site_label
_atom_site_fract_x
_atom_site_fract_y
_atom_site_fract_z
Cr1 0.0000 0.0000 0.2152
Cu1 0.0000 0.0000 0.3667
Ge1 0.0000 0.0000 0.0810
```

## Properties
- Total energy: -0.42952 Ry per atom
- E_form: 0.27 eV per atom
- Volume: 46.1 Å³/f.u.
- Magnetization: 0.99 μB/atom


(2)
First-principles (PBE-GGA) data for a geometry-optimized CrCu2Ge2 structure, as listed in Alexandria via LeMat-Bulk.

Cell and atoms, written as CIF:
```
data_CrCu2Ge2
_cell_length_a 6.837
_cell_length_b 6.837
_cell_length_c 3.137
_cell_angle_alpha 90.00
_cell_angle_beta 90.00
_cell_angle_gamma 90.00
_symmetry_space_group_name_H-M 'P 4/m b m'
_symmetry_Int_Tables_number 127
_symmetry_space_group_name_Hall '-P 4 2ab'
loop_
_atom_site_label
_atom_site_fract_x
_atom_site_fract_y
_atom_site_fract_z
Cr1 0.000 0.000 0.000
Cu1 0.135 0.365 0.500
Ge1 0.162 0.662 0.000
```

## Properties
- Total energy: -0.37918 Ry per atom
- E_form: 0.25 eV per atom
- Volume: 73.3 Å³/f.u.
- Magnetization: 0.44 μB/atom


(3)
First-principles (PBE-GGA) data for a geometry-optimized CrCu3Ge structure, as listed in Alexandria via LeMat-Bulk.

Cell and atoms, written as CIF:
```
data_CrCu3Ge
_cell_length_a 4.394
_cell_length_b 4.394
_cell_length_c 4.394
_cell_angle_alpha 90.00
_cell_angle_beta 90.00
_cell_angle_gamma 90.00
_symmetry_space_group_name_H-M 'P m -3 m'
_symmetry_Int_Tables_number 221
_symmetry_space_group_name_Hall '-P 4 2 3'
loop_
_atom_site_label
_atom_site_fract_x
_atom_site_fract_y
_atom_site_fract_z
Cr1 0.000 0.000 0.000
Cu1 0.000 0.500 0.500
Ge1 0.500 0.500 0.500
```

## Properties
- Total energy: -0.30534 Ry per atom
- Offset from the most stable computed form: 0 meV per atom
- E_form: 1.15 eV per atom
- Volume: 84.9 Å³/f.u.
- Magnetization: 0.09 μB/atom